1.
The following is a DFT calculation (SCAN) of a crystal of Tl2Ga2Ag relaxed with PBEsol.

Cell lengths 6.7225, 6.7225, 4.9131 Å; angles 90.00, 90.00, 90.00 degrees
Last column: nearest neighbours and their distance in Å.
Space group P4/mbm (No. 127)
One atom of each set of equivalent atoms:
Tl: 0.1786 0.3214 0.0000 [4 per cell]  6 Ga 3.02-3.25
Ga: 0.1361 0.6361 0.5000 [4 per cell]  1 Ga 2.59, 2 Ag 2.61
Ag: 0.0000 0.0000 0.5000 [2 per cell]  4 Ga 2.61

E_tot = -3.0594 Ry/atom
Energy relative to the elements = 130 meV/atom
Total magnetization = 0.0 μB/f.u.

2.
The following is a DFT calculation (SCAN) of a crystal of CaAsP2 relaxed with PBEsol.

Cell lengths 6.0999, 6.1204, 3.8520 Å; angles 90.00, 90.00, 90.00 degrees
Last column: nearest neighbours and their distance in Å.
Space group Cmmm (No. 65)
One atom of each set of equivalent atoms:
Ca: 0.0000 0.0000 0.0000 [2 per cell]  8 P 2.89, 4 As 3.05-3.06
As: 0.0000 0.5000 0.0000 [2 per cell]  8 P 2.89, 4 Ca 3.05-3.06
P: 0.2500 0.2500 0.5000 [4 per cell]  4 As 2.89, 4 Ca 2.89, 4 P 3.05-3.06

E_tot = -0.9432 Ry/atom
Energy relative to the elements = -170 meV/atom
Total magnetization = 0.0 μB/f.u.